Here is a geometry-optimized MnGe2F6 structure from Alexandria via LeMat-Bulk. Energies are from GGA+U.

abc: 7.3500 7.9649 7.9649
angles: 101.93 111.37 111.37
Closest atoms and distances in Å follow each position.
Positions (direct):
1 Mn 0.2500 0.9800 0.0200  6 F 2.15-2.35
2 Mn 0.7500 0.0200 0.9800  6 F 2.15-2.35
3 Ge 0.1820 0.4121 0.1839  3 F 1.89-1.97
4 Ge 0.3180 0.8161 0.5879  3 F 1.89-1.97
5 Ge 0.8180 0.5879 0.8161  3 F 1.89-1.97
6 Ge 0.6820 0.1839 0.4121  3 F 1.89-1.97
7 F 0.5597 0.2892 0.2365  1 Ge 1.89
8 F 0.9403 0.7635 0.7108  1 Ge 1.89
9 F 0.4403 0.7108 0.7635  1 Ge 1.89
10 F 0.0597 0.2365 0.2892  1 Ge 1.89
11 F 0.6243 0.9770 0.6660  1 Ge 1.91
12 F 0.8757 0.3340 0.0230  1 Ge 1.91
13 F 0.3757 0.0230 0.3340  1 Ge 1.91
14 F 0.1243 0.6660 0.9770  1 Ge 1.91
15 F 0.1119 0.1738 0.9824  1 Ge 1.97, 1 Mn 2.15
16 F 0.3881 0.0176 0.8262  1 Ge 1.97, 1 Mn 2.15
17 F 0.8881 0.8262 0.0176  1 Ge 1.97, 1 Mn 2.15
18 F 0.6119 0.9824 0.1738  1 Ge 1.97, 1 Mn 2.15

SG: C2/c, No. 15
calculated total energy: -5.353 eV per atom
volume: 20.67 Å³ per atom